(1)
Entry from Alexandria via LeMat-Bulk: a relaxed structure of LiPrNi2 (PBE-GGA).

Output
Crystal system: tetragonal
Excess energy over the best structure of this formula in the dataset, eV per atom: 0.100
Formation energy from the elements, kJ per mole of atoms: -1.72

Lattice parameters (Å, degrees): 3.4234 3.4234 5.8007 90.00 90.00 90.00
Space group P4/mmm (No. 123)
Inequivalent atoms, fractional coordinates:
Li 0.0000 0.0000 0.0000 [1 per cell]
Pr 0.0000 0.0000 0.5000 [1 per cell]
Ni 0.5000 0.5000 0.2105 [2 per cell]

(2)
Entry from Alexandria via LeMat-Bulk: a relaxed structure of NbAlIr2 (PBE-GGA).

Output
Crystal system: tetragonal
Formation energy from the elements, kJ per mole of atoms: -75.77

Lattice parameters (Å, degrees): 2.9204 2.9204 7.0105 90.00 90.00 90.00
Space group P4/mmm (No. 123)
Inequivalent atoms, fractional coordinates:
Nb 0.0000 0.0000 0.0000 [1 per cell]
Al 0.0000 0.0000 0.5000 [1 per cell]
Ir 0.5000 0.5000 0.2749 [2 per cell]

(3)
Entry from Alexandria via LeMat-Bulk: a relaxed structure of TiAg2AuC (PBE-GGA).

Output
Crystal system: tetragonal
Formation energy from the elements, kJ per mole of atoms: 77.04

Lattice parameters (Å, degrees): 4.3707 4.3707 4.3018 90.00 90.00 90.00
Space group P4/mmm (No. 123)
Inequivalent atoms, fractional coordinates:
Ti 0.0000 0.0000 0.0000 [1 per cell]
Ag 0.0000 0.5000 0.5000 [2 per cell]
Au 0.5000 0.5000 0.0000 [1 per cell]
C 0.5000 0.5000 0.5000 [1 per cell]

(4)
Entry from Alexandria via LeMat-Bulk: a relaxed structure of ZrO (PBE-GGA).

Output
Crystal system: tetragonal
E_form (uncorrected), meV/atom: -2323

Lattice parameters (Å, degrees): 9.0885 9.0885 3.2353 90.00 90.00 90.00
Space group I4/m (No. 87)
Inequivalent atoms, fractional coordinates:
Zr 0.0996 0.3131 0.0000 [8 per cell]
O 0.1161 0.7708 0.0000 [8 per cell]

Number 1: magnetization 0.00 Bohr magnetons per cell. Number 2: magnetization 0.00 Bohr magnetons per cell. Number 3: magnetization 2.30 Bohr magnetons per cell. Number 4: magnetization 0.00 Bohr magnetons per cell.